No. 1
Below is MnNb2Br after structural relaxation, with properties calculated at the GGA-PBE level.

Output
Symmetry   I-42d, No. 122
E_tot   -6.783 eV/atom
V   184.5 Å³ per cell
E above lowest polymorph   385 meV per atom
Formation energy without anion corrections   0.963 eV per atom

a = 5.430 Å, b = 5.430 Å, c = 7.341 Å
α = 68.29°, β = 68.29°, γ = 90.00°
Atoms (fractional coordinates):
Mn  0.500  0.500  0.000
Nb  0.188  0.625  0.250
Mn  0.250  0.750  0.500
Br  0.000  0.000  0.000
Nb  0.875  0.812  0.750
Nb  0.562  0.125  0.250
Br  0.750  0.250  0.500
Nb  0.375  0.438  0.750


No. 2
Below is HoCd4Ni after structural relaxation, with properties calculated at the GGA-PBE level.

Output
Symmetry   C2/m, No. 12
E_tot   -2.411 eV/atom
V   260.2 Å³ per cell
Energy of formation   -74.0 meV per atom

a = 5.329 Å, b = 6.966 Å, c = 8.270 Å
α = 114.91°, β = 108.82°, γ = 90.00°
Atoms (fractional coordinates):
Cd  0.616  0.341  0.231
Ho  0.794  0.794  0.587
Ni  0.725  0.500  0.000
Ni  0.275  0.500  0.000
Cd  0.384  0.109  0.769
Cd  0.616  0.891  0.231
Cd  0.167  0.667  0.333
Cd  0.000  0.805  0.000
Ho  0.206  0.206  0.413
Cd  0.833  0.333  0.667
Cd  0.384  0.659  0.769
Cd  0.000  0.195  0.000


No. 3
Below is Ac3Te5 after structural relaxation, with properties calculated at the GGA-PBE level.

Output
Symmetry   C2/m, No. 12
E_tot   -4.935 eV/atom
V   605.8 Å³ per cell
E above lowest polymorph   88 meV per atom
Formation energy without anion corrections   -1.430 eV per atom

a = 8.032 Å, b = 9.104 Å, c = 9.459 Å
α = 83.82°, β = 64.88°, γ = 75.31°
Atoms (fractional coordinates):
Ac  0.744  0.000  0.011
Te  0.367  0.297  0.122
Te  0.374  0.872  0.293
Te  0.743  0.520  0.500
Te  0.010  0.704  0.122
Te  0.256  0.481  0.500
Ac  0.346  0.500  0.808
Ac  0.071  0.207  0.500
Te  0.166  0.872  0.707
Te  0.833  0.129  0.293
Te  0.632  0.704  0.878
Te  0.626  0.129  0.707
Ac  0.928  0.794  0.500
Te  0.989  0.297  0.878
Ac  0.255  0.000  0.989
Ac  0.654  0.500  0.192